Here is a relaxed structure of Tb3Y5Tm from the Alexandria database. Energies are from PBE.

The space group is P6_3/mcm (No. 193) and the conventional cell measures 9.7293, 9.7293 and 7.0212 Å, with angles of 90.00, 90.00 and 120.00 degrees. The asymmetric unit holds Tb at (0.0000, 0.3606, 0.2500), Y at (0.0000, 0.3033, 0.7500), Y at (0.3333, 0.6667, 0.0000) and Tm at (0.0000, 0.0000, 0.0000).

The calculation puts the final energy at -5.5846 eV per atom. The energy of formation is 0.0468 eV per atom. The calculation puts the size of the total moment at 0.00 μB per cell. Its distance to the lowest polymorph of the same formula is 0.0 meV per atom. The volume is 32.0 Å³/atom.